Here is a relaxed CuNiOs crystal from Alexandria. Energies are from PBE.

Output
* V: 75 Å³/cell
* total magnetic moment: 0.00 μB per cell
* DFT formation energy: 0.49 eV per formula unit

Lattice parameters (Å, degrees): 4.4917 4.4917 5.0620 117.32 117.32 59.94
Fractional positions:
Cu: 0.1676 0.1676 0.9999
Cu: 0.8324 0.8324 0.0001
Ni: 0.4995 0.5005 0.0000
Ni: 0.6684 0.3316 0.5000
Os: 0.0030 0.6624 0.4995
Os: 0.3376 0.9970 0.5005